{"formula": "Pr8Nd3In2", "functional": "PBE", "state": "optimized geometry", "sg": "R-3m (166)", "mass_density_g_cm3": 6.4, "ef_ev_per_fu": 1.3, "cell": [[6.6361, 0.0000, 0.0000], [3.3180, 5.7470, 0.0000], [3.3180, 1.9157, 12.1632]], "species": ["Pr", "Pr", "Pr", "Pr", "Pr", "Pr", "Pr", "Pr", "Nd", "Nd", "Nd", "In", "In"], "fractional_positions": [[0.7152, 0.7152, 0.8543], [0.2848, 0.2848, 0.1457], [0.2273, 0.7191, 0.3345], [0.7191, 0.2273, 0.3345], [0.7191, 0.7191, 0.3345], [0.2809, 0.7727, 0.6655], [0.7727, 0.2809, 0.6655], [0.2809, 0.2809, 0.6655], [0.0000, 0.0000, 0.0000], [0.8094, 0.8094, 0.5718], [0.1906, 0.1906, 0.4282], [0.6301, 0.6301, 0.1096], [0.3699, 0.3699, 0.8904]]}